[1]
VASP calculation (PBE) on La3BiRu after structural relaxation.

Lattice parameters (Å, degrees): 7.6448 7.6448 6.0717 90.00 90.00 120.00
Fractional coordinates of all 10 atoms:
La (0.1768, 0.8221, 0.2500)
La (0.1779, 0.3548, 0.2500)
La (0.3548, 0.1768, 0.7500)
La (0.6452, 0.8232, 0.2500)
La (0.8221, 0.6452, 0.7500)
La (0.8232, 0.1779, 0.7500)
Bi (0.3333, 0.6667, 0.7500)
Bi (0.6667, 0.3333, 0.2500)
Ru (0.0000, 0.0000, 0.0000)
Ru (0.0000, 0.0000, 0.5000)

Results
Density (g/cm3): 7.85
Relative energy among the computed polymorphs (eV per formula unit): 0.00
Formation enthalpy at 0 K (eV/atom): -0.589

=====

[2]
VASP calculation (PBE) on LaBiRu2 after structural relaxation.

Lattice parameters (Å, degrees): 6.1610 6.1610 6.1610 107.07 107.07 114.39
Fractional coordinates of all 8 atoms:
La (0.0000, 0.0000, 0.0000)
La (0.7500, 0.2500, 0.5000)
Bi (0.2500, 0.7500, 0.5000)
Bi (0.5000, 0.5000, 0.0000)
Ru (0.1353, 0.6250, 0.0103)
Ru (0.3750, 0.3853, 0.5103)
Ru (0.6147, 0.1250, 0.9897)
Ru (0.8750, 0.8647, 0.4897)

Results
Density (g/cm3): 10.20
Formation enthalpy at 0 K (eV/atom): 0.436

=====

Number 1: raw total energy -6.177 eV/atom. Number 2: raw total energy -6.404 eV/atom.